(1)
An optimized crystal structure of Sr2Zn3Cd. Source: Alexandria via LeMat-Bulk, functional GGA-PBEsol.

Unit cell a=5.9368 b=5.9368 c=7.7066 alpha=129.85 beta=129.85 gamma=47.39
Element x y z (fractional)
Sr (0.0000, 0.0000, 0.0000)
Sr (0.1112, 0.1112, 0.6088)
Zn (0.3948, 0.3948, 0.5819)
Zn (0.7071, 0.7071, 0.0231)
Zn (0.7313, 0.7313, 0.4018)
Cd (0.3934, 0.3934, 0.2086)

Space group ... Cm (8)
Formation enthalpy at 0 K ... -1.4 eV per formula unit

=====

(2)
An optimized crystal structure of La2CoSb. Source: Alexandria via LeMat-Bulk, functional GGA-PBEsol.

Unit cell a=7.4187 b=7.4187 c=7.4187 alpha=33.36 beta=33.36 gamma=33.36
Element x y z (fractional)
La (0.2367, 0.2367, 0.2367)
La (0.7633, 0.7633, 0.7633)
Co (0.5000, 0.5000, 0.5000)
Sb (0.0000, 0.0000, 0.0000)

Space group ... R-3m (166)
Energy above the lowest structure with this stoichiometry ... 0.041 eV/atom
Formation energy without anion corrections ... -367 meV per atom

=====

(3)
An optimized crystal structure of LiMnZn2Pd. Source: Alexandria via LeMat-Bulk, functional GGA-PBEsol.

Unit cell a=4.6595 b=4.6595 c=4.6758 alpha=90.00 beta=90.00 gamma=90.00
Element x y z (fractional)
Li (0.0000, 0.0000, 0.0000)
Mn (0.5000, 0.5000, 0.5000)
Zn (0.0000, 0.5000, 0.5000)
Zn (0.5000, 0.0000, 0.5000)
Pd (0.5000, 0.5000, 0.0000)

Space group ... P4/mmm (123)
Formation enthalpy at 0 K ... 2.9 eV per formula unit